Entry 1:
Material: Zr5Sc5Ga6
Method: DFT, meta-GGA SCAN
State: PBEsol geometry

a b c (Å): 5.7565 13.7421 7.9896
angles (deg): 90.00 90.00 90.00
Space group Amm2 (No. 38)
Inequivalent atoms, fractional coordinates:
Zr: 0.0000 0.0000 0.0000 x2
Zr: 0.0000 0.1178 0.6458 x4
Zr: 0.5000 0.1188 0.8797 x4
Sc: 0.2499 0.1671 0.2615 x8
Sc: 0.5000 0.0000 0.5221 x2
Ga: 0.0000 0.0000 0.3614 x2
Ga: 0.0000 0.2002 0.9620 x4
Ga: 0.5000 0.0000 0.1572 x2
Ga: 0.5000 0.1997 0.5627 x4

Output
ρ, g/cm3: 5.78
E_tot, eV per atom: -20.7765

***

Entry 2:
Material: Ge2Os2Se
Method: DFT, meta-GGA SCAN
State: PBEsol geometry

a b c (Å): 4.2768 4.2768 9.3022
angles (deg): 90.00 90.00 90.00
Space group I4/mmm (No. 139)
Inequivalent atoms, fractional coordinates:
Ge: 0.0000 0.0000 0.1248 x4
Os: 0.0000 0.5000 0.2500 x4
Se: 0.0000 0.0000 0.5000 x2

Output
ρ, g/cm3: 11.80
E_tot, eV per atom: -39.8687
Raw formation energy, eV per atom: 0.53

***

Entry 3:
Material: CoSi2Rh
Method: DFT, meta-GGA SCAN
State: PBEsol geometry

a b c (Å): 3.1272 3.4257 9.2129
angles (deg): 90.00 90.00 90.00
Space group Imm2 (No. 44)
Inequivalent atoms, fractional coordinates:
Co: 0.0000 0.0000 0.0000 x2
Si: 0.0000 0.0000 0.5600 x2
Si: 0.0000 0.5000 0.3259 x2
Rh: 0.0000 0.5000 0.7512 x2

Output
ρ, g/cm3: 7.34
E_tot, eV per atom: -18.2305
Raw formation energy, eV per atom: -0.45
Excess energy over the best structure of this formula in the dataset, eV/atom: 0.0000

***

Entry 4:
Material: BaScRe3
Method: DFT, meta-GGA SCAN
State: PBEsol geometry

a b c (Å): 4.8977 4.8977 4.8977
angles (deg): 90.00 90.00 90.00
Space group Pm-3m (No. 221)
Inequivalent atoms, fractional coordinates:
Ba: 0.0000 0.0000 0.0000 x1
Sc: 0.5000 0.5000 0.5000 x1
Re: 0.0000 0.0000 0.5000 x3

Output
ρ, g/cm3: 10.47
E_tot, eV per atom: -49.9186

***

Entry 5:
Material: AlSb2Te2BrCl4
Method: DFT, meta-GGA SCAN
State: PBEsol geometry

a b c (Å): 21.2674 8.2683 13.1542
angles (deg): 90.00 99.98 90.00
Space group C2/c (No. 15)
Inequivalent atoms, fractional coordinates:
Al: 0.2305 0.1259 0.1712 x8
Sb: 0.0617 0.3721 0.1122 x8
Sb: 0.0661 0.1219 0.6120 x8
Te: 0.0704 0.1265 0.9570 x8
Te: 0.0752 0.3763 0.4619 x8
Br: 0.0000 0.1246 0.2500 x4
Br: 0.0000 0.3749 0.7500 x4
Cl: 0.1685 0.3702 0.7754 x8
Cl: 0.1691 0.1207 0.2841 x8
Cl: 0.2032 0.3445 0.0832 x8
Cl: 0.2078 0.0876 0.5772 x8

Output
ρ, g/cm3: 4.36
E_tot, eV per atom: -21.7481
Raw formation energy, eV per atom: -0.93

***

Entry 6:
Material: Li14Mn2S9
Method: DFT, meta-GGA SCAN
State: PBEsol geometry

a b c (Å): 6.9729 6.9729 9.7701
angles (deg): 90.00 90.00 120.00
Space group P-3 (No. 147)
Inequivalent atoms, fractional coordinates:
Li: 0.0000 0.0000 0.2494 x2
Li: 0.0206 0.3465 0.4106 x6
Li: 0.0394 0.6764 0.0902 x6
Mn: 0.3333 0.6667 0.7565 x2
S: 0.0000 0.0000 0.5000 x1
S: 0.0284 0.6895 0.8385 x6
S: 0.3333 0.6667 0.5156 x2

Output
ρ, g/cm3: 2.00
E_tot, eV per atom: -7.7122
Raw formation energy, eV per atom: -1.45

***

Entry 7:
Material: Li2MgNi
Method: DFT, meta-GGA SCAN
State: PBEsol geometry

a b c (Å): 10.2651 2.8750 4.4179
angles (deg): 90.00 114.52 90.00
Space group C2/m (No. 12)
Inequivalent atoms, fractional coordinates:
Li: 0.2193 0.0000 0.2188 x4
Mg: 0.0000 0.0000 0.5000 x2
Ni: 0.0000 0.5000 0.0000 x2

Output
ρ, g/cm3: 2.71
E_tot, eV per atom: -6.4889

***

Entry 8:
Material: LiV5B2O10
Method: DFT, meta-GGA SCAN
State: PBEsol geometry

a b c (Å): 9.3875 12.3266 2.9086
angles (deg): 90.00 90.00 90.00
Space group Pbam (No. 55)
Inequivalent atoms, fractional coordinates:
Li: 0.0000 0.0000 0.0000 x2
V: 0.0000 0.5000 0.5000 x2
V: 0.0070 0.2140 0.5000 x4
V: 0.2476 0.3903 0.0000 x4
B: 0.2225 0.6427 0.0000 x4
O: 0.1043 0.3570 0.5000 x4
O: 0.1143 0.9181 0.5000 x4
O: 0.1312 0.1445 0.0000 x4
O: 0.1454 0.7385 0.0000 x4
O: 0.1506 0.5435 0.0000 x4

Output
ρ, g/cm3: 4.37
E_tot, eV per atom: -11.8606
Raw formation energy, eV per atom: -2.58

***

Entry 9:
Material: Sn3AsF
Method: DFT, meta-GGA SCAN
State: PBEsol geometry

a b c (Å): 4.8880 4.8880 4.8880
angles (deg): 90.00 90.00 90.00
Space group Pm-3m (No. 221)
Inequivalent atoms, fractional coordinates:
Sn: 0.0000 0.0000 0.5000 x3
As: 0.5000 0.5000 0.5000 x1
F: 0.0000 0.0000 0.0000 x1

Output
ρ, g/cm3: 6.40
E_tot, eV per atom: -26.3659
Raw formation energy, eV per atom: -0.07

***

Entry 10:
Material: AgIrAu2
Method: DFT, meta-GGA SCAN
State: PBEsol geometry

a b c (Å): 2.7360 3.9955 5.8700
angles (deg): 90.00 90.00 90.00
Space group Pmmm (No. 47)
Inequivalent atoms, fractional coordinates:
Ag: 0.0000 0.0000 0.0000 x1
Ir: 0.0000 0.0000 0.5000 x1
Au: 0.5000 0.5000 0.2575 x2

Output
ρ, g/cm3: 17.96
E_tot, eV per atom: -59.8926
Excess energy over the best structure of this formula in the dataset, eV/atom: 0.0153

***

Entry 11:
Material: CuSbCl3
Method: DFT, meta-GGA SCAN
State: PBEsol geometry

a b c (Å): 4.6473 4.6473 4.6473
angles (deg): 90.00 90.00 90.00
Space group Pm-3m (No. 221)
Inequivalent atoms, fractional coordinates:
Cu: 0.0000 0.0000 0.0000 x1
Sb: 0.5000 0.5000 0.5000 x1
Cl: 0.0000 0.0000 0.5000 x3

Output
ρ, g/cm3: 4.83
E_tot, eV per atom: -15.4907
Raw formation energy, eV per atom: -0.21

***

Entry 12:
Material: CrOs5
Method: DFT, meta-GGA SCAN
State: PBEsol geometry

a b c (Å): 4.2738 2.7149 14.0552
angles (deg): 90.00 90.00 90.00
Space group Amm2 (No. 38)
Inequivalent atoms, fractional coordinates:
Cr: 0.0000 0.0000 0.0000 x2
Os: 0.0000 0.0000 0.3361 x2
Os: 0.0000 0.0000 0.6637 x2
Os: 0.5000 0.0000 0.1085 x2
Os: 0.5000 0.0000 0.4468 x2
Os: 0.5000 0.0000 0.7787 x2

Output
ρ, g/cm3: 20.43
E_tot, eV per atom: -62.9721

***

Question: The lowest E_tot belongs to which entry?
Answer: CrOs5

***

Question: What is the ρ in the second record?
Answer: 11.80 g/cm3